A relaxed YCuPd2Se crystal. Source: the Alexandria database, functional GGA-PBE.

Properties
The formation energy (no corrections) comes out at 0.564 eV per atom. The magnetization comes out at 0.00 μB/f.u. The calculation puts the density of states at the Fermi level at 0.131 states/eV/atom. The crystal system is tetragonal.

The structure in CIF format:
```
data_YCuPd2Se
_cell_length_a 5.094
_cell_length_b 5.094
_cell_length_c 5.318
_cell_angle_alpha 90.00
_cell_angle_beta 90.00
_cell_angle_gamma 90.00
_symmetry_space_group_name_H-M 'P 4/m m m'
_symmetry_Int_Tables_number 123
_symmetry_space_group_name_Hall '-P 4 2'
loop_
_atom_site_label
_atom_site_fract_x
_atom_site_fract_y
_atom_site_fract_z
_atom_site_occupancy
Y1 0.000 0.000 0.000 1
Cu1 0.500 0.500 0.500 1
Pd1 0.000 0.500 0.000 1
Se1 0.000 0.000 0.500 1
```

A relaxed CuSi2Pd crystal. Source: the Alexandria database, functional GGA-PBE.

Properties
The formation energy (no corrections) comes out at 0.181 eV per atom. The magnetization comes out at 0.00 μB/f.u. The calculation puts the density of states at the Fermi level at 0.705 states/eV/atom. The relative energy among the computed polymorphs is 0.159 eV/atom. The crystal system is trigonal.

The structure in CIF format:
```
data_CuSi2Pd
_cell_length_a 4.0870
_cell_length_b 4.0870
_cell_length_c 17.6309
_cell_angle_alpha 90.00
_cell_angle_beta 90.00
_cell_angle_gamma 120.00
_symmetry_space_group_name_H-M 'R -3 m'
_symmetry_Int_Tables_number 166
_symmetry_space_group_name_Hall '-R 3 2"'
loop_
_atom_site_label
_atom_site_fract_x
_atom_site_fract_y
_atom_site_fract_z
_atom_site_occupancy
Cu1 0.0000 0.0000 0.0000 1
Si1 0.0000 0.0000 0.1291 1
Pd1 0.0000 0.0000 0.5000 1
```

A relaxed CuSiPd6 crystal. Source: the Alexandria database, functional GGA-PBE.

Properties
The formation energy (no corrections) comes out at -0.099 eV per atom. The magnetization comes out at 0.00 μB/f.u. The calculation puts the density of states at the Fermi level at 0.850 states/eV/atom. The crystal system is triclinic.

The structure in CIF format:
```
data_CuSiPd6
_cell_length_a 5.183
_cell_length_b 5.190
_cell_length_c 5.195
_cell_angle_alpha 73.49
_cell_angle_beta 73.66
_cell_angle_gamma 73.67
_symmetry_space_group_name_H-M 'P -1'
_symmetry_Int_Tables_number 2
loop_
_symmetry_equiv_pos_as_xyz
'x,y,z'
'-x,-y,-z'
loop_
_atom_site_label
_atom_site_fract_x
_atom_site_fract_y
_atom_site_fract_z
_atom_site_occupancy
Cu1 0.000 0.000 0.000 1
Si1 0.500 0.500 0.500 1
Pd1 0.030 0.740 0.498 1
Pd2 0.260 0.502 0.969 1
Pd3 0.497 0.031 0.740 1
```

A relaxed Cu6Si2Pd crystal. Source: the Alexandria database, functional GGA-PBE.

Properties
The formation energy (no corrections) comes out at -0.034 eV per atom. The magnetization comes out at 0.00 μB/f.u. The calculation puts the density of states at the Fermi level at 0.259 states/eV/atom. The crystal system is monoclinic.

The structure in CIF format:
```
data_Cu6Si2Pd
_cell_length_a 8.049
_cell_length_b 4.821
_cell_length_c 6.335
_cell_angle_alpha 90.00
_cell_angle_beta 102.98
_cell_angle_gamma 90.00
_symmetry_space_group_name_H-M 'C 1 2/m 1'
_symmetry_Int_Tables_number 12
loop_
_symmetry_equiv_pos_as_xyz
'x,y,z'
'-x,-y,-z'
'-x,y,-z'
'x,-y,z'
'x+1/2,y+1/2,z'
'-x+1/2,-y+1/2,-z'
'-x+1/2,y+1/2,-z'
'x+1/2,-y+1/2,z'
loop_
_atom_site_label
_atom_site_fract_x
_atom_site_fract_y
_atom_site_fract_z
_atom_site_occupancy
Cu1 0.106 0.247 0.377 1
Cu2 0.157 0.000 0.872 1
Si1 0.169 0.500 0.735 1
Pd1 0.000 0.500 0.000 1
```

A relaxed CuSiPd5 crystal. Source: the Alexandria database, functional GGA-PBE.

Properties
The formation energy (no corrections) comes out at -0.203 eV per atom. The magnetization comes out at 0.00 μB/f.u. The calculation puts the density of states at the Fermi level at 0.462 states/eV/atom. The crystal system is monoclinic.

The structure in CIF format:
```
data_CuSiPd5
_cell_length_a 10.713
_cell_length_b 6.702
_cell_length_c 7.427
_cell_angle_alpha 90.00
_cell_angle_beta 124.04
_cell_angle_gamma 90.00
_symmetry_space_group_name_H-M 'C 1 2/c 1'
_symmetry_Int_Tables_number 15
loop_
_symmetry_equiv_pos_as_xyz
'x,y,z'
'-x,-y,-z'
'-x,y,-z+1/2'
'x,-y,z+1/2'
'x+1/2,y+1/2,z'
'-x+1/2,-y+1/2,-z'
'-x+1/2,y+1/2,-z+1/2'
'x+1/2,-y+1/2,z+1/2'
loop_
_atom_site_label
_atom_site_fract_x
_atom_site_fract_y
_atom_site_fract_z
_atom_site_occupancy
Cu1 0.250 0.250 0.000 1
Si1 0.000 0.096 0.250 1
Pd1 0.000 0.448 0.250 1
Pd2 0.011 0.199 0.571 1
Pd3 0.246 0.082 0.328 1
```

A relaxed CuSiPd crystal. Source: the Alexandria database, functional GGA-PBE.

Properties
The formation energy (no corrections) comes out at -0.251 eV per atom. The magnetization comes out at 0.00 μB/f.u. The calculation puts the density of states at the Fermi level at 0.637 states/eV/atom. The crystal system is cubic.

The structure in CIF format:
```
data_CuSiPd
_cell_length_a 5.656
_cell_length_b 5.656
_cell_length_c 5.656
_cell_angle_alpha 90.00
_cell_angle_beta 90.00
_cell_angle_gamma 90.00
_symmetry_space_group_name_H-M 'F -4 3 m'
_symmetry_Int_Tables_number 216
_symmetry_space_group_name_Hall 'F -4 2 3'
loop_
_atom_site_label
_atom_site_fract_x
_atom_site_fract_y
_atom_site_fract_z
_atom_site_occupancy
Cu1 0.000 0.000 0.000 1
Si1 0.250 0.250 0.250 1
Pd1 0.000 0.000 0.500 1
```

A relaxed Cu5Si2Pd12 crystal. Source: the Alexandria database, functional GGA-PBE.

Properties
The formation energy (no corrections) comes out at -0.223 eV per atom. The magnetization comes out at 0.00 μB/f.u. The calculation puts the density of states at the Fermi level at 0.434 states/eV/atom. The crystal system is monoclinic.

The structure in CIF format:
```
data_Cu5Si2Pd12
_cell_length_a 13.213
_cell_length_b 8.642
_cell_length_c 4.953
_cell_angle_alpha 90.00
_cell_angle_beta 100.61
_cell_angle_gamma 90.00
_symmetry_space_group_name_H-M 'C 1 2/m 1'
_symmetry_Int_Tables_number 12
loop_
_symmetry_equiv_pos_as_xyz
'x,y,z'
'-x,-y,-z'
'-x,y,-z'
'x,-y,z'
'x+1/2,y+1/2,z'
'-x+1/2,-y+1/2,-z'
'-x+1/2,y+1/2,-z'
'x+1/2,-y+1/2,z'
loop_
_atom_site_label
_atom_site_fract_x
_atom_site_fract_y
_atom_site_fract_z
_atom_site_occupancy
Cu1 0.000 0.000 0.000 1
Cu2 0.194 0.500 0.382 1
Cu3 0.204 0.000 0.037 1
Si1 0.000 0.252 0.500 1
Pd1 0.053 0.500 0.768 1
Pd2 0.097 0.260 0.154 1
Pd3 0.103 0.000 0.502 1
Pd4 0.194 0.263 0.719 1
```

A relaxed Cu2Si2Pd crystal. Source: the Alexandria database, functional GGA-PBE.

Properties
The formation energy (no corrections) comes out at 0.037 eV per atom. The magnetization comes out at 0.00 μB/f.u. The calculation puts the density of states at the Fermi level at 0.379 states/eV/atom. The relative energy among the computed polymorphs is 0.125 eV/atom. The crystal system is tetragonal.

The structure in CIF format:
```
data_Cu2Si2Pd
_cell_length_a 6.968
_cell_length_b 6.968
_cell_length_c 2.811
_cell_angle_alpha 90.00
_cell_angle_beta 90.00
_cell_angle_gamma 90.00
_symmetry_space_group_name_H-M 'P 4/m b m'
_symmetry_Int_Tables_number 127
_symmetry_space_group_name_Hall '-P 4 2ab'
loop_
_atom_site_label
_atom_site_fract_x
_atom_site_fract_y
_atom_site_fract_z
_atom_site_occupancy
Cu1 0.124 0.376 0.000 1
Si1 0.177 0.677 0.500 1
Pd1 0.000 0.000 0.000 1
```

A relaxed CuSi3Pd crystal. Source: the Alexandria database, functional GGA-PBE.

Properties
The formation energy (no corrections) comes out at 0.710 eV per atom. The magnetization comes out at 0.00 μB/f.u. The calculation puts the density of states at the Fermi level at 0.534 states/eV/atom. The relative energy among the computed polymorphs is 0.000 eV/atom. The crystal system is cubic.

The structure in CIF format:
```
data_CuSi3Pd
_cell_length_a 4.458
_cell_length_b 4.458
_cell_length_c 4.458
_cell_angle_alpha 90.00
_cell_angle_beta 90.00
_cell_angle_gamma 90.00
_symmetry_space_group_name_H-M 'P m -3 m'
_symmetry_Int_Tables_number 221
_symmetry_space_group_name_Hall '-P 4 2 3'
loop_
_atom_site_label
_atom_site_fract_x
_atom_site_fract_y
_atom_site_fract_z
_atom_site_occupancy
Cu1 0.000 0.000 0.000 1
Si1 0.000 0.000 0.500 1
Pd1 0.500 0.500 0.500 1
```

A relaxed CuSiPd crystal. Source: the Alexandria database, functional GGA-PBE.

Properties
The formation energy (no corrections) comes out at -0.262 eV per atom. The magnetization comes out at 0.00 μB/f.u. The calculation puts the density of states at the Fermi level at 0.273 states/eV/atom. The crystal system is trigonal.

The structure in CIF format:
```
data_CuSiPd
_cell_length_a 4.1062
_cell_length_b 4.1062
_cell_length_c 2.8173
_cell_angle_alpha 90.00
_cell_angle_beta 90.00
_cell_angle_gamma 120.00
_symmetry_space_group_name_H-M 'P 3 m 1'
_symmetry_Int_Tables_number 156
loop_
_symmetry_equiv_pos_as_xyz
'x,y,z'
'-y,x-y,z'
'-x+y,-x,z'
'-y,-x,z'
'-x+y,y,z'
'x,x-y,z'
loop_
_atom_site_label
_atom_site_fract_x
_atom_site_fract_y
_atom_site_fract_z
_atom_site_occupancy
Cu1 0.0000 0.0000 0.0000 1
Si1 0.6667 0.3333 0.2829 1
Pd1 0.3333 0.6667 0.4979 1
```